(1)
Entry from the Alexandria database: crystalline PaP2Ru5W at its relaxed geometry (PBE).

As for the crystal system: tetragonal. The calculation puts the formation enthalpy at 0 K at 0.100 eV/atom.

The structure belongs to space group P4/mmm (No. 123); the cell edges are 3.8833, 3.8833 and 10.7125 Å and the angles 90.00°, 90.00° and 90.00°. The asymmetric unit holds Pa at (0.0000, 0.0000, 0.0000), P at (0.5000, 0.5000, 0.2140), Ru at (0.0000, 0.5000, 0.3372), Ru at (0.5000, 0.5000, 0.0000) and W at (0.5000, 0.5000, 0.5000).


(2)
Entry from the Alexandria database: crystalline Ho4SnTe2As at its relaxed geometry (PBE).

As for the crystal system: monoclinic. The uncorrected formation energy comes out at -1.24 eV/atom.

The structure belongs to space group P2/m (No. 10); the cell edges are 7.4380, 4.2825 and 7.4877 Å and the angles 90.00°, 109.20° and 90.00°. The asymmetric unit holds Ho at (0.2346, 0.0000, 0.2240), Ho at (0.2492, 0.5000, 0.7689), Sn at (0.5000, 0.0000, 0.0000), Te at (0.0000, 0.0000, 0.5000), Te at (0.5000, 0.5000, 0.5000) and As at (0.0000, 0.5000, 0.0000).


(3)
Entry from the Alexandria database: crystalline RbHfTl at its relaxed geometry (PBE).

As for the crystal system: hexagonal. The energy above the most stable polymorph in this dataset is 64.31 kJ/mol of atoms. The calculation puts the formation enthalpy at 0 K at 0.806 eV/atom.

The structure belongs to space group P6_3/mmc (No. 194); the cell edges are 5.6364, 5.6364 and 6.3486 Å and the angles 90.00°, 90.00° and 120.00°. The asymmetric unit holds Rb at (0.0000, 0.0000, 0.0000), Hf at (0.3333, 0.6667, 0.2500) and Tl at (0.3333, 0.6667, 0.7500).


(4)
Entry from the Alexandria database: crystalline PPtRh2 at its relaxed geometry (PBE).

As for the crystal system: orthorhombic. The calculation puts the formation enthalpy at 0 K at -0.048 eV/atom.

The structure belongs to space group Pmm2 (No. 25); the cell edges are 2.7734, 3.7228 and 5.7049 Å and the angles 90.00°, 90.00° and 90.00°. The asymmetric unit holds P at (0.0000, 0.0000, 0.0000), Pt at (0.5000, 0.5000, 0.3415), Rh at (0.0000, 0.0000, 0.5870) and Rh at (0.5000, 0.5000, 0.8579).


(5)
Entry from the Alexandria database: crystalline KCo2Hg at its relaxed geometry (PBE).

As for the crystal system: tetragonal. The calculation puts the formation enthalpy at 0 K at 1.081 eV/atom.

The structure belongs to space group P4/mmm (No. 123); the cell edges are 5.1874, 5.1874 and 2.8116 Å and the angles 90.00°, 90.00° and 90.00°. The asymmetric unit holds K at (0.0000, 0.0000, 0.0000), Co at (0.0000, 0.5000, 0.5000) and Hg at (0.5000, 0.5000, 0.0000).


(6)
Entry from the Alexandria database: crystalline Mg2CrPtN at its relaxed geometry (PBE).

As for the crystal system: tetragonal. The uncorrected formation energy comes out at -0.54 eV/atom.

The structure belongs to space group P4/mmm (No. 123); the cell edges are 4.3136, 4.3136 and 3.7600 Å and the angles 90.00°, 90.00° and 90.00°. The asymmetric unit holds Mg at (0.0000, 0.5000, 0.0000), Cr at (0.0000, 0.0000, 0.5000), Pt at (0.5000, 0.5000, 0.5000) and N at (0.0000, 0.0000, 0.0000).


(7)
Entry from the Alexandria database: crystalline La6Tb7Pm16 at its relaxed geometry (PBE).

As for the crystal system: cubic. The calculation puts the formation enthalpy at 0 K at 0.201 eV/atom.

The structure belongs to space group Fm-3m (No. 225); the cell edges are 16.1097, 16.1097 and 16.1097 Å and the angles 90.00°, 90.00° and 90.00°. The asymmetric unit holds La at (0.0000, 0.0000, 0.2216), Tb at (0.0000, 0.0000, 0.5000), Tb at (0.0000, 0.2500, 0.2500), Pm at (0.1260, 0.1260, 0.3740) and Pm at (0.1528, 0.1528, 0.1528).


(8)
Entry from the Alexandria database: crystalline LiSi2Tc2 at its relaxed geometry (PBE).

As for the crystal system: tetragonal. The energy above the most stable polymorph in this dataset is 0.00 kJ/mol of atoms. The uncorrected formation energy comes out at -0.43 eV/atom.

The structure belongs to space group P4/mbm (No. 127); the cell edges are 6.6032, 6.6032 and 3.1142 Å and the angles 90.00°, 90.00° and 90.00°. The asymmetric unit holds Li at (0.0000, 0.0000, 0.0000), Si at (0.1366, 0.3634, 0.0000) and Tc at (0.1583, 0.6583, 0.5000).


| no. | calculated volume (A^3/atom) |
| --- | --- |
| 1 | 17.95 |
| 2 | 28.16 |
| 3 | 29.11 |
| 4 | 14.73 |
| 5 | 18.91 |
| 6 | 13.99 |
| 7 | 36.04 |
| 8 | 13.58 |